First-principles (PBE-GGA) data for a geometry-optimized Pm3InPd2 structure, as listed in Alexandria via LeMat-Bulk.

Results
N(E_F)   0.811 states/eV/atom
Formation energy from the elements   -668 meV/atom

The structure in CIF format:
```
data_Pm3InPd2
_chemical_formula_sum 'Pm3 In1 Pd2'
_symmetry_space_group_name_H-M 'P 4/m m m'
_symmetry_Int_Tables_number 123
_symmetry_space_group_name_Hall '-P 4 2'
_cell_length_a 3.629
_cell_length_b 3.629
_cell_length_c 11.419
_cell_angle_alpha 90.00
_cell_angle_beta 90.00
_cell_angle_gamma 90.00
loop_
_atom_site_label
_atom_site_fract_x
_atom_site_fract_y
_atom_site_fract_z
Pm1 0.000 0.000 0.000
Pm2 0.000 0.000 0.312
In1 0.500 0.500 0.500
Pd1 0.500 0.500 0.156
```